(1)
Below is Fe2AgMo after structural relaxation, with properties calculated at the PBE level.

Properties
Space-group type: No. 139
E_form: 441.0 meV/atom
Final energy: -7.211 eV per atom

abc: 4.559 4.559 4.559
angles: 129.30 129.21 74.60
Fractional positions:
Ag 0.250 0.750 0.500
Fe 0.500 0.500 0.000
Fe 0.000 0.000 0.000
Mo 0.750 0.250 0.500

***

(2)
Below is Na3InSn3Se8 after structural relaxation, with properties calculated at the PBE level.

Properties
Space-group type: No. 12
Final energy: -3.749 eV per atom
Energy relative to the elements, uncorrected: -0.64 eV per atom

abc: 8.027 8.034 8.595
angles: 117.92 90.00 119.97
Fractional positions:
Sn 0.500 0.000 0.500
Na 0.500 0.500 0.000
Se 0.743 0.486 0.727
Se 0.255 0.018 0.281
Se 0.745 0.982 0.719
Se 0.762 0.524 0.281
Sn 0.000 0.500 0.500
Se 0.763 0.018 0.281
Se 0.238 0.476 0.719
Se 0.237 0.982 0.719
Na 0.000 0.500 0.000
In 0.000 0.000 0.500
Na 0.000 0.000 0.000
Sn 0.500 0.500 0.500
Se 0.257 0.514 0.273

***

Q: Which value of final energy does entry 2 give?
A: -3.749 eV per atom

***

Repeat the second record exactly.
Below is Na3InSn3Se8 after structural relaxation, with properties calculated at the PBE level.

Properties
Space-group type: No. 12
Final energy: -3.749 eV per atom
Energy relative to the elements, uncorrected: -0.64 eV per atom

abc: 8.027 8.034 8.595
angles: 117.92 90.00 119.97
Fractional positions:
Sn 0.500 0.000 0.500
Na 0.500 0.500 0.000
Se 0.743 0.486 0.727
Se 0.255 0.018 0.281
Se 0.745 0.982 0.719
Se 0.762 0.524 0.281
Sn 0.000 0.500 0.500
Se 0.763 0.018 0.281
Se 0.238 0.476 0.719
Se 0.237 0.982 0.719
Na 0.000 0.500 0.000
In 0.000 0.000 0.500
Na 0.000 0.000 0.000
Sn 0.500 0.500 0.500
Se 0.257 0.514 0.273

***

Please write out number 2 again, unchanged.
Below is Na3InSn3Se8 after structural relaxation, with properties calculated at the PBE level.

Properties
Space-group type: No. 12
Final energy: -3.749 eV per atom
Energy relative to the elements, uncorrected: -0.64 eV per atom

abc: 8.027 8.034 8.595
angles: 117.92 90.00 119.97
Fractional positions:
Sn 0.500 0.000 0.500
Na 0.500 0.500 0.000
Se 0.743 0.486 0.727
Se 0.255 0.018 0.281
Se 0.745 0.982 0.719
Se 0.762 0.524 0.281
Sn 0.000 0.500 0.500
Se 0.763 0.018 0.281
Se 0.238 0.476 0.719
Se 0.237 0.982 0.719
Na 0.000 0.500 0.000
In 0.000 0.000 0.500
Na 0.000 0.000 0.000
Sn 0.500 0.500 0.500
Se 0.257 0.514 0.273

***

Q: Among the records above, which one has the lowest final energy?
A: Fe2AgMo